# 1
Entry from the Alexandria database: Na2Cd3Sn2 after structural relaxation (PBE).

Unit cell a=11.100 b=4.830 c=7.384 alpha=90.00 beta=103.04 gamma=90.00
Space group C2/m (No. 12)
Symmetry-distinct sites (fractional):
Na  0.112  0.000  0.343 (multiplicity 4)
Cd  0.000  0.500  0.000 (multiplicity 2)
Cd  0.225  0.000  0.858 (multiplicity 4)
Sn  0.102  0.500  0.678 (multiplicity 4)

Computed properties:
Formation energy from the elements in kJ per mole of atoms: -9
Polymorph energy (0 for the lowest one) in eV per atom: 0.003

***

# 2
Entry from the Alexandria database: Na8Cd6Sn after structural relaxation (PBE).

Unit cell a=9.4779 b=9.4779 c=16.4744 alpha=90.00 beta=90.00 gamma=120.00
Space group R-3m (No. 166, hexagonal axes)
Symmetry-distinct sites (fractional):
Na  0.0000  0.0000  0.1174 (multiplicity 6)
Na  0.0897  0.5449  0.3342 (multiplicity 18)
Cd  0.0000  0.3331  0.5000 (multiplicity 18)
Sn  0.0000  0.0000  0.5000 (multiplicity 3)

Computed properties:
Formation energy from the elements in kJ per mole of atoms: -7
Polymorph energy (0 for the lowest one) in eV per atom: 0.000

***

# 3
Entry from the Alexandria database: NaCd2Sn2 after structural relaxation (PBE).

Unit cell a=8.636 b=8.636 c=3.645 alpha=90.00 beta=90.00 gamma=90.00
Space group P4/mbm (No. 127)
Symmetry-distinct sites (fractional):
Na  0.000  0.000  0.000 (multiplicity 2)
Cd  0.158  0.342  0.500 (multiplicity 4)
Sn  0.138  0.638  0.000 (multiplicity 4)

Computed properties:
Formation energy from the elements in kJ per mole of atoms: -1
Polymorph energy (0 for the lowest one) in eV per atom: 0.068

***

# 4
Entry from the Alexandria database: Na2Cd16Sn after structural relaxation (PBE).

Unit cell a=10.3564 b=10.3564 c=14.9947 alpha=90.00 beta=90.00 gamma=120.00
Space group R3m (No. 160, hexagonal axes)
Symmetry-distinct sites (fractional):
Na  0.0000  0.0000  0.0000 (multiplicity 3)
Na  0.0000  0.0000  0.3170 (multiplicity 3)
Cd  0.0000  0.0000  0.5556 (multiplicity 3)
Cd  0.0021  0.3093  0.6566 (multiplicity 18)
Cd  0.0075  0.5037  0.1556 (multiplicity 9)
Cd  0.0114  0.5057  0.8082 (multiplicity 9)
Cd  0.1747  0.3494  0.8390 (multiplicity 9)
Sn  0.0000  0.0000  0.7590 (multiplicity 3)

Computed properties:
Formation energy from the elements in kJ per mole of atoms: -3

***

# 5
Entry from the Alexandria database: Na5Cd3Sn12 after structural relaxation (PBE).

Unit cell a=17.743 b=17.743 c=17.743 alpha=90.00 beta=90.00 gamma=90.00
Space group Ia-3d (No. 230)
Symmetry-distinct sites (fractional):
Na  0.000  0.000  0.000 (multiplicity 16)
Na  0.000  0.250  0.375 (multiplicity 24)
Cd  0.000  0.250  0.125 (multiplicity 24)
Sn  0.002  0.082  0.649 (multiplicity 96)

Computed properties:
Formation energy from the elements in kJ per mole of atoms: 11

***

# 6
Entry from the Alexandria database: NaCd8Sn2 after structural relaxation (PBE).

Unit cell a=7.930 b=16.320 c=5.756 alpha=90.00 beta=130.80 gamma=90.00
Space group C2/m (No. 12)
Symmetry-distinct sites (fractional):
Na  0.000  0.000  0.000 (multiplicity 2)
Cd  0.000  0.205  0.000 (multiplicity 4)
Cd  0.009  0.500  0.260 (multiplicity 4)
Cd  0.232  0.132  0.758 (multiplicity 8)
Sn  0.000  0.329  0.500 (multiplicity 4)

Computed properties:
Formation energy from the elements in kJ per mole of atoms: 2

***

# 7
Entry from the Alexandria database: Na2Cd3Sn5 after structural relaxation (PBE).

Unit cell a=12.659 b=13.522 c=6.913 alpha=90.00 beta=90.00 gamma=90.00
Space group Ibam (No. 72)
Symmetry-distinct sites (fractional):
Na  0.250  0.126  0.000 (multiplicity 8)
Cd  0.000  0.000  0.250 (multiplicity 4)
Cd  0.139  0.374  0.000 (multiplicity 8)
Sn  0.000  0.248  0.250 (multiplicity 8)
Sn  0.000  0.500  0.250 (multiplicity 4)
Sn  0.140  0.120  0.500 (multiplicity 8)

Computed properties:
Formation energy from the elements in kJ per mole of atoms: -6

***

# 8
Entry from the Alexandria database: NaCd14Sn after structural relaxation (PBE).

Unit cell a=9.125 b=9.133 c=8.922 alpha=90.00 beta=90.00 gamma=90.00
Space group Cmmm (No. 65)
Symmetry-distinct sites (fractional):
Na  0.000  0.000  0.000 (multiplicity 2)
Cd  0.000  0.000  0.500 (multiplicity 2)
Cd  0.000  0.246  0.258 (multiplicity 8)
Cd  0.000  0.500  0.500 (multiplicity 2)
Cd  0.246  0.000  0.258 (multiplicity 8)
Cd  0.250  0.250  0.000 (multiplicity 4)
Cd  0.250  0.250  0.500 (multiplicity 4)
Sn  0.000  0.500  0.000 (multiplicity 2)

Computed properties:
Formation energy from the elements in kJ per mole of atoms: 0

***

# 9
Entry from the Alexandria database: Na3CdSn4 after structural relaxation (PBE).

Unit cell a=3.222 b=6.444 c=20.675 alpha=90.00 beta=90.00 gamma=90.00
Space group Immm (No. 71)
Symmetry-distinct sites (fractional):
Na  0.000  0.000  0.000 (multiplicity 2)
Na  0.000  0.500  0.238 (multiplicity 4)
Cd  0.000  0.000  0.500 (multiplicity 2)
Sn  0.000  0.256  0.378 (multiplicity 8)

Computed properties:
Formation energy from the elements in kJ per mole of atoms: -11

***

# 10
Entry from the Alexandria database: Na4Cd5Sn2 after structural relaxation (PBE).

Unit cell a=7.390 b=4.981 c=8.744 alpha=90.00 beta=100.24 gamma=90.00
Space group P2/m (No. 10)
Symmetry-distinct sites (fractional):
Na  0.218  0.000  0.386 (multiplicity 2)
Na  0.225  0.000  0.927 (multiplicity 2)
Cd  0.163  0.500  0.626 (multiplicity 2)
Cd  0.481  0.500  0.160 (multiplicity 2)
Cd  0.500  0.500  0.500 (multiplicity 1)
Sn  0.090  0.500  0.163 (multiplicity 2)

Computed properties:
Formation energy from the elements in kJ per mole of atoms: -6
Polymorph energy (0 for the lowest one) in eV per atom: 0.043

***

# 11
Entry from the Alexandria database: NaCd6Sn2 after structural relaxation (PBE).

Unit cell a=15.197 b=8.718 c=3.516 alpha=90.00 beta=99.46 gamma=90.00
Space group C2/m (No. 12)
Symmetry-distinct sites (fractional):
Na  0.000  0.000  0.000 (multiplicity 2)
Cd  0.000  0.319  0.500 (multiplicity 4)
Cd  0.173  0.171  0.673 (multiplicity 8)
Sn  0.147  0.500  0.124 (multiplicity 4)

Computed properties:
Formation energy from the elements in kJ per mole of atoms: 0
Polymorph energy (0 for the lowest one) in eV per atom: 0.014

***

# 12
Entry from the Alexandria database: Na3Cd4Sn after structural relaxation (PBE).

Unit cell a=6.283 b=10.621 c=6.394 alpha=90.00 beta=90.00 gamma=90.00
Space group Imm2 (No. 44)
Symmetry-distinct sites (fractional):
Na  0.000  0.000  0.000 (multiplicity 2)
Na  0.000  0.272  0.762 (multiplicity 4)
Cd  0.000  0.233  0.282 (multiplicity 4)
Cd  0.241  0.000  0.493 (multiplicity 4)
Sn  0.000  0.500  0.413 (multiplicity 2)

Computed properties:
Formation energy from the elements in kJ per mole of atoms: -2

***

| no. | uncorrected energy (eV per atom) |
| --- | --- |
| 1 | -2.01 |
| 2 | -1.41 |
| 3 | -2.25 |
| 4 | -1.15 |
| 5 | -2.76 |
| 6 | -1.49 |
| 7 | -2.60 |
| 8 | -1.13 |
| 9 | -2.73 |
| 10 | -1.68 |
| 11 | -1.65 |
| 12 | -1.47 |